Entry 1:
Crystalline LiInRh at its relaxed geometry, computed with GGA-PBEsol.

Output
SG: No. 107
Uncorrected energy in hartree per atom: -0.17244
Density of states at the Fermi level in states/eV per atom: 0.29
M_tot in μB per formula unit: 0.0

Unit cell a=3.2183 b=3.2173 c=4.9110 alpha=109.12 beta=109.13 gamma=90.00
Closest atoms and distances in Å follow each position.
Fractional coordinates of all 3 atoms:
1 In 0.9969 0.9969 0.9937  5 Rh 2.73-2.85, 5 Li 2.77
2 Rh 0.3242 0.3242 0.6484  4 Li 2.60, 5 In 2.73-2.85
3 Li 0.6789 0.6789 0.3579  4 Rh 2.60, 5 In 2.77


Entry 2:
Crystalline LiIn3Rh at its relaxed geometry, computed with GGA-PBEsol.

Output
SG: No. 221
Uncorrected energy in hartree per atom: -0.11796
Density of states at the Fermi level in states/eV per atom: 0.91
M_tot in μB per formula unit: 0.0

Unit cell a=4.6569 b=4.6569 c=4.6569 alpha=90.00 beta=90.00 gamma=90.00
Closest atoms and distances in Å follow each position.
Fractional coordinates of all 5 atoms:
1 Li 0.0000 0.0000 0.0000  6 In 2.33
2 Rh 0.5000 0.5000 0.5000  12 In 3.29
3 In 0.0000 0.5000 0.0000  2 Li 2.33
4 In 0.0000 0.0000 0.5000  2 Li 2.33
5 In 0.5000 0.0000 0.0000  2 Li 2.33


Entry 3:
Crystalline LiInRh2 at its relaxed geometry, computed with GGA-PBEsol.

Output
SG: No. 25
Uncorrected energy in hartree per atom: -0.20027
Density of states at the Fermi level in states/eV per atom: 1.02
M_tot in μB per formula unit: 0.0

Unit cell a=2.8082 b=3.8314 c=5.4735 alpha=90.00 beta=90.00 gamma=90.00
Closest atoms and distances in Å follow each position.
Fractional coordinates of all 4 atoms:
1 In 0.0000 0.0000 0.5003  6 Rh 2.71-2.79, 4 Li 2.80, 2 In 2.81
2 Li 0.5000 0.5000 0.7706  5 Rh 2.54-2.67, 4 In 2.80, 2 Li 2.81
3 Rh 0.0000 0.0000 0.9948  4 Li 2.67, 2 In 2.71-2.77, 6 Rh 2.71-2.81
4 Rh 0.5000 0.5000 0.2344  1 Li 2.54, 6 Rh 2.71-2.81, 4 In 2.79


Entry 4:
Crystalline LiInRh2 at its relaxed geometry, computed with GGA-PBEsol.

Output
SG: No. 71
Uncorrected energy in hartree per atom: -0.20204
Density of states at the Fermi level in states/eV per atom: 0.53
M_tot in μB per formula unit: 0.0

Unit cell a=3.0248 b=4.5249 c=4.9957 alpha=116.93 beta=107.62 gamma=90.00
Closest atoms and distances in Å follow each position.
Fractional coordinates of all 4 atoms:
1 In 0.5000 0.0000 0.0000  4 Rh 2.68, 4 Li 2.72
2 Rh 0.7366 0.7366 0.4731  2 Li 2.49, 2 In 2.68, 4 Rh 2.73
3 Rh 0.2634 0.2634 0.5269  2 Li 2.49, 2 In 2.68, 4 Rh 2.73
4 Li 0.0000 0.5000 0.0000  4 Rh 2.49, 4 In 2.72


Entry 5:
Crystalline LiInRu at its relaxed geometry, computed with GGA-PBEsol.

Output
SG: No. 156
Uncorrected energy in hartree per atom: -0.17505
Density of states at the Fermi level in states/eV per atom: 0.81
M_tot in μB per formula unit: 0.0

Unit cell a=2.8963 b=2.8963 c=6.7740 alpha=90.00 beta=90.00 gamma=120.00
Closest atoms and distances in Å follow each position.
Fractional coordinates of all 3 atoms:
1 In 0.0000 0.0000 0.0130  3 Ru 2.77, 6 In 2.90, 3 Li 2.98
2 Li 0.3333 0.6667 0.6483  3 Ru 2.68, 6 Li 2.90, 3 In 2.98
3 Ru 0.6667 0.3333 0.3387  3 Li 2.68, 3 In 2.77, 6 Ru 2.90


Entry 6:
Crystalline LiIn2Ru at its relaxed geometry, computed with GGA-PBEsol.

Output
SG: No. 123
Uncorrected energy in hartree per atom: -0.17116
Density of states at the Fermi level in states/eV per atom: 0.46
M_tot in μB per formula unit: 0.0

Unit cell a=3.2143 b=4.5373 c=4.5372 alpha=90.00 beta=90.00 gamma=90.00
Closest atoms and distances in Å follow each position.
Fractional coordinates of all 4 atoms:
1 Ru 0.5000 0.8754 0.5000  8 In 2.78
2 In 0.0000 0.8747 0.0000  4 Li 2.78, 4 Ru 2.78
3 In 0.0000 0.3752 0.5000  4 Ru 2.78, 4 Li 2.78
4 Li 0.5000 0.3746 0.0000  8 In 2.78


Entry 7:
Crystalline LiIn2Ru at its relaxed geometry, computed with GGA-PBEsol.

Output
SG: No. 225
Uncorrected energy in hartree per atom: -0.17226
Density of states at the Fermi level in states/eV per atom: 0.46
M_tot in μB per formula unit: 0.0

Unit cell a=4.5460 b=4.5460 c=4.5460 alpha=60.00 beta=60.00 gamma=60.00
Closest atoms and distances in Å follow each position.
Fractional coordinates of all 4 atoms:
1 Ru 0.5000 0.5000 0.5000  8 In 2.78
2 In 0.7500 0.7500 0.7500  4 Ru 2.78, 4 Li 2.78
3 In 0.2500 0.2500 0.2500  4 Ru 2.78, 4 Li 2.78
4 Li 0.0000 0.0000 0.0000  8 In 2.78


Entry 8:
Crystalline LiInRu2 at its relaxed geometry, computed with GGA-PBEsol.

Output
SG: No. 47
Uncorrected energy in hartree per atom: -0.22428
Density of states at the Fermi level in states/eV per atom: 0.94
M_tot in μB per formula unit: 0.8

Unit cell a=2.9293 b=4.4858 c=4.4522 alpha=90.00 beta=90.00 gamma=90.00
Closest atoms and distances in Å follow each position.
Fractional coordinates of all 4 atoms:
1 In 0.5000 0.5000 0.0000  4 Li 2.66, 4 Ru 2.68, 2 In 2.93
2 Li 0.0000 0.5000 0.5000  4 In 2.66, 4 Ru 2.68, 2 Li 2.93
3 Ru 0.0000 0.0000 0.0000  6 Ru 2.66-2.93, 4 In 2.68
4 Ru 0.5000 0.0000 0.5000  6 Ru 2.66-2.93, 4 Li 2.68


Entry 9:
Crystalline Li4InRu at its relaxed geometry, computed with GGA-PBEsol.

Output
SG: No. 216
Uncorrected energy in hartree per atom: -0.12427
Density of states at the Fermi level in states/eV per atom: 0.49
M_tot in μB per formula unit: 0.0

Unit cell a=4.8787 b=4.8787 c=4.8787 alpha=60.00 beta=60.00 gamma=60.00
Closest atoms and distances in Å follow each position.
Fractional coordinates of all 6 atoms:
1 In 0.0000 0.0000 0.0000  12 Li 2.86, 4 Ru 2.99
2 Li 0.3771 0.3771 0.3771  6 Li 2.40-2.48
3 Li 0.3771 0.3771 0.8688  6 Li 2.40-2.48
4 Li 0.8688 0.3771 0.3771  6 Li 2.40-2.48
5 Li 0.3771 0.8688 0.3771  6 Li 2.40-2.48
6 Ru 0.7500 0.7500 0.7500  12 Li 2.86, 4 In 2.99


Entry 10:
Crystalline LiInRu2 at its relaxed geometry, computed with GGA-PBEsol.

Output
SG: No. 71
Uncorrected energy in hartree per atom: -0.22433
Density of states at the Fermi level in states/eV per atom: 0.99
M_tot in μB per formula unit: 0.0

Unit cell a=2.9868 b=4.4026 c=5.1274 alpha=115.42 beta=106.93 gamma=90.00
Closest atoms and distances in Å follow each position.
Fractional coordinates of all 4 atoms:
1 In 0.5000 0.0000 0.0000  4 Li 2.66, 4 Ru 2.70
2 Li 0.0000 0.5000 0.0000  4 Ru 2.60, 4 In 2.66
3 Ru 0.7428 0.7428 0.4856  2 Li 2.60, 4 Ru 2.66, 2 In 2.70
4 Ru 0.2572 0.2572 0.5144  2 Li 2.60, 4 Ru 2.66, 2 In 2.70


Entry 11:
Crystalline LiIn2Ru at its relaxed geometry, computed with GGA-PBEsol.

Output
SG: No. 119
Uncorrected energy in hartree per atom: -0.16862
Density of states at the Fermi level in states/eV per atom: 0.67
M_tot in μB per formula unit: 0.0

Unit cell a=3.8571 b=3.8571 c=5.2532 alpha=111.54 beta=111.54 gamma=90.00
Closest atoms and distances in Å follow each position.
Fractional coordinates of all 4 atoms:
1 In 0.0000 0.0000 0.0000  4 Li 2.73, 4 In 2.96, 4 Ru 2.96
2 In 0.7500 0.2500 0.5000  4 Ru 2.73, 4 In 2.96, 4 Li 2.96
3 Li 0.5000 0.5000 0.0000  8 In 2.73-2.96, 4 Ru 2.96
4 Ru 0.2500 0.7500 0.5000  8 In 2.73-2.96, 4 Li 2.96


Entry 12:
Crystalline LiInS3 at its relaxed geometry, computed with GGA-PBEsol.

Output
SG: No. 221
Uncorrected energy in hartree per atom: -0.12576
Density of states at the Fermi level in states/eV per atom: 1.23
Energy relative to the elements, uncorrected in eV/f.u.: 1.0
M_tot in μB per formula unit: 0.0

Unit cell a=4.4554 b=4.4554 c=4.4554 alpha=90.00 beta=90.00 gamma=90.00
Closest atoms and distances in Å follow each position.
Fractional coordinates of all 5 atoms:
1 S 0.0000 0.5000 0.0000  2 Li 2.23
2 S 0.0000 0.0000 0.5000  2 Li 2.23
3 S 0.5000 0.0000 0.0000  2 Li 2.23
4 Li 0.0000 0.0000 0.0000  6 S 2.23
5 In 0.5000 0.5000 0.5000  12 S 3.15


Q: The highest density of states at the Fermi level belongs to which entry?
A: LiInS3


Q: The highest uncorrected energy belongs to which entry?
A: LiIn3Rh